This record from the Open Quantum Materials Database describes crystalline RbCuOsS3 at its relaxed geometry. The functional is PBE-GGA.

Unit cell a=7.5734 b=7.5734 c=9.3207 alpha=90.00 beta=90.00 gamma=151.67
Positions (direct):
Rb: 0.2460 0.7540 0.7500
Rb: 0.7540 0.2460 0.2500
Cu: 0.4712 0.5288 0.2500
Cu: 0.5288 0.4712 0.7500
Os: 0.0000 0.0000 0.0000
Os: 0.0000 0.0000 0.5000
S: 0.0647 0.9353 0.2500
S: 0.3965 0.6035 0.0415
S: 0.3965 0.6035 0.4585
S: 0.6035 0.3965 0.5415
S: 0.6035 0.3965 0.9585
S: 0.9353 0.0647 0.7500

Electronic total energy = -30.428 eV per formula unit
Total magnetic moment = 0.13 μB/atom
Volume = 253.71 Å³ per cell

***

This record from the Open Quantum Materials Database describes crystalline RbCuOsSe2S at its relaxed geometry. The functional is PBE-GGA.

Unit cell a=7.8472 b=7.8472 c=9.4442 alpha=90.00 beta=90.00 gamma=151.60
Positions (direct):
Rb: 0.2485 0.7515 0.7500
Rb: 0.7515 0.2485 0.2500
Cu: 0.4786 0.5214 0.2500
Cu: 0.5214 0.4786 0.7500
Os: 0.0000 0.0000 0.0000
Os: 0.0000 0.0000 0.5000
Se: 0.3936 0.6064 0.0410
Se: 0.3936 0.6064 0.4590
Se: 0.6064 0.3936 0.5410
Se: 0.6064 0.3936 0.9590
S: 0.0614 0.9386 0.2500
S: 0.9386 0.0614 0.7500

Electronic total energy = -28.723 eV per formula unit
Total magnetic moment = 0.13 μB/atom
Volume = 276.58 Å³ per cell